DFT (PBE-GGA) results for a relaxed Ac5Ge3H crystal.

Structure (CIF):
```
data_Ac5Ge3H
_cell_length_a 8.553
_cell_length_b 8.553
_cell_length_c 14.626
_cell_angle_alpha 90.00
_cell_angle_beta 90.00
_cell_angle_gamma 90.00
_symmetry_space_group_name_H-M 'I 4/m c m'
_symmetry_Int_Tables_number 140
_symmetry_space_group_name_Hall '-I 4 2c'
loop_
_atom_site_label
_atom_site_type_symbol
_atom_site_fract_x
_atom_site_fract_y
_atom_site_fract_z
Ac1 Ac 0.000 0.000 0.000
Ac2 Ac 0.166 0.334 0.146
Ge1 Ge 0.000 0.000 0.250
Ge2 Ge 0.132 0.368 0.500
H1 H 0.000 0.500 0.250
```

Computed properties:
M_tot ... 0.0 μB per cell
E ... -172.58 eV for the cell shown

***

DFT (PBE-GGA) results for a relaxed Ac3GeH crystal.

Structure (CIF):
```
data_Ac3GeH
_cell_length_a 5.231
_cell_length_b 5.231
_cell_length_c 5.231
_cell_angle_alpha 90.00
_cell_angle_beta 90.00
_cell_angle_gamma 90.00
_symmetry_space_group_name_H-M 'P m -3 m'
_symmetry_Int_Tables_number 221
_symmetry_space_group_name_Hall '-P 4 2 3'
loop_
_atom_site_label
_atom_site_type_symbol
_atom_site_fract_x
_atom_site_fract_y
_atom_site_fract_z
Ac1 Ac 0.000 0.000 0.500
Ge1 Ge 0.500 0.500 0.500
H1 H 0.000 0.000 0.000
```

Computed properties:
Polymorph energy (0 for the lowest one) ... 95 meV per atom
M_tot ... 0.0 μB per cell
E ... -21.43 eV for the cell shown

***

DFT (PBE-GGA) results for a relaxed Ac2GeH2 crystal.

Structure (CIF):
```
data_Ac2GeH2
_cell_length_a 3.973
_cell_length_b 4.139
_cell_length_c 7.237
_cell_angle_alpha 106.38
_cell_angle_beta 105.76
_cell_angle_gamma 90.14
_symmetry_space_group_name_H-M 'P -1'
_symmetry_Int_Tables_number 2
loop_
_symmetry_equiv_pos_as_xyz
'x,y,z'
'-x,-y,-z'
loop_
_atom_site_label
_atom_site_type_symbol
_atom_site_fract_x
_atom_site_fract_y
_atom_site_fract_z
Ac1 Ac 0.137 0.137 0.272
Ge1 Ge 0.500 0.500 0.000
H1 H 0.248 0.747 0.495
```

Computed properties:
M_tot ... 0.0 μB per cell
E ... -22.58 eV for the cell shown

***

DFT (PBE-GGA) results for a relaxed Ac2GeH crystal.

Structure (CIF):
```
data_Ac2GeH
_cell_length_a 5.302
_cell_length_b 5.302
_cell_length_c 3.845
_cell_angle_alpha 90.00
_cell_angle_beta 90.00
_cell_angle_gamma 90.00
_symmetry_space_group_name_H-M 'P 4/m m m'
_symmetry_Int_Tables_number 123
_symmetry_space_group_name_Hall '-P 4 2'
loop_
_atom_site_label
_atom_site_type_symbol
_atom_site_fract_x
_atom_site_fract_y
_atom_site_fract_z
Ac1 Ac 0.000 0.500 0.000
Ge1 Ge 0.000 0.000 0.500
H1 H 0.500 0.500 0.500
```

Computed properties:
Polymorph energy (0 for the lowest one) ... 186 meV per atom
M_tot ... 0.0 μB per cell
E ... -17.11 eV for the cell shown

***

DFT (PBE-GGA) results for a relaxed Ac2Ge2H crystal.

Structure (CIF):
```
data_Ac2Ge2H
_cell_length_a 6.479
_cell_length_b 12.883
_cell_length_c 6.384
_cell_angle_alpha 90.00
_cell_angle_beta 90.00
_cell_angle_gamma 90.00
_symmetry_space_group_name_H-M 'I b a m'
_symmetry_Int_Tables_number 72
_symmetry_space_group_name_Hall '-I 2 2c'
loop_
_atom_site_label
_atom_site_type_symbol
_atom_site_fract_x
_atom_site_fract_y
_atom_site_fract_z
Ac1 Ac 0.225 0.115 0.000
Ge1 Ge 0.215 0.362 0.000
H1 H 0.000 0.000 0.250
```

Computed properties:
M_tot ... 0.0 μB per cell
E ... -92.41 eV for the cell shown

***

DFT (PBE-GGA) results for a relaxed Ac2GeH crystal.

Structure (CIF):
```
data_Ac2GeH
_cell_length_a 3.7954
_cell_length_b 3.7954
_cell_length_c 28.7403
_cell_angle_alpha 90.00
_cell_angle_beta 90.00
_cell_angle_gamma 120.00
_symmetry_space_group_name_H-M 'R -3 m'
_symmetry_Int_Tables_number 166
_symmetry_space_group_name_Hall '-R 3 2"'
loop_
_atom_site_label
_atom_site_type_symbol
_atom_site_fract_x
_atom_site_fract_y
_atom_site_fract_z
Ac1 Ac 0.0000 0.0000 0.1086
Ge1 Ge 0.0000 0.0000 0.0000
H1 H 0.0000 0.0000 0.5000
```

Computed properties:
Polymorph energy (0 for the lowest one) ... 526 meV per atom
M_tot ... 0.0 μB per cell
E ... -47.24 eV for the cell shown

***

DFT (PBE-GGA) results for a relaxed Ac12Ge6H crystal.

Structure (CIF):
```
data_Ac12Ge6H
_cell_length_a 13.8332
_cell_length_b 13.8332
_cell_length_c 12.5770
_cell_angle_alpha 90.00
_cell_angle_beta 90.00
_cell_angle_gamma 120.00
_symmetry_space_group_name_H-M 'R -3'
_symmetry_Int_Tables_number 148
_symmetry_space_group_name_Hall '-R 3'
loop_
_atom_site_label
_atom_site_type_symbol
_atom_site_fract_x
_atom_site_fract_y
_atom_site_fract_z
Ac1 Ac 0.0325 0.8276 0.3880
Ac2 Ac 0.0445 0.8496 0.8809
Ge1 Ge 0.0516 0.7730 0.6490
H1 H 0.0000 0.0000 0.0000
```

Computed properties:
M_tot ... 2.3 μB per cell
E ... -263.79 eV for the cell shown

***

DFT (PBE-GGA) results for a relaxed Ac7Ge4H crystal.

Structure (CIF):
```
data_Ac7Ge4H
_cell_length_a 16.558
_cell_length_b 5.357
_cell_length_c 11.433
_cell_angle_alpha 90.00
_cell_angle_beta 128.56
_cell_angle_gamma 90.00
_symmetry_space_group_name_H-M 'C 1 2/m 1'
_symmetry_Int_Tables_number 12
loop_
_symmetry_equiv_pos_as_xyz
'x,y,z'
'-x,-y,-z'
'-x,y,-z'
'x,-y,z'
'x+1/2,y+1/2,z'
'-x+1/2,-y+1/2,-z'
'-x+1/2,y+1/2,-z'
'x+1/2,-y+1/2,z'
loop_
_atom_site_label
_atom_site_type_symbol
_atom_site_fract_x
_atom_site_fract_y
_atom_site_fract_z
Ac1 Ac 0.000 0.000 0.000
Ac2 Ac 0.081 0.500 0.284
Ac3 Ac 0.137 0.000 0.552
Ac4 Ac 0.207 0.500 0.853
Ge1 Ge 0.078 0.000 0.792
Ge2 Ge 0.221 0.000 0.344
H1 H 0.000 0.500 0.000
```

Computed properties:
M_tot ... 0.0 μB per cell
E ... -112.98 eV for the cell shown

***

DFT (PBE-GGA) results for a relaxed Ac3GeH3 crystal.

Structure (CIF):
```
data_Ac3GeH3
_cell_length_a 8.9356
_cell_length_b 8.9356
_cell_length_c 4.6032
_cell_angle_alpha 90.00
_cell_angle_beta 90.00
_cell_angle_gamma 120.00
_symmetry_space_group_name_H-M 'P 63/m'
_symmetry_Int_Tables_number 176
_symmetry_space_group_name_Hall '-P 6c'
loop_
_atom_site_label
_atom_site_type_symbol
_atom_site_fract_x
_atom_site_fract_y
_atom_site_fract_z
Ac1 Ac 0.0833 0.3711 0.2500
Ge1 Ge 0.3333 0.6667 0.7500
H1 H 0.0494 0.2332 0.7500
```

Computed properties:
M_tot ... 4.0 μB per cell
E ... -60.69 eV for the cell shown

***

DFT (PBE-GGA) results for a relaxed AcGe2H crystal.

Structure (CIF):
```
data_AcGe2H
_cell_length_a 5.2820
_cell_length_b 5.2820
_cell_length_c 15.7550
_cell_angle_alpha 90.00
_cell_angle_beta 90.00
_cell_angle_gamma 120.00
_symmetry_space_group_name_H-M 'R -3 m'
_symmetry_Int_Tables_number 166
_symmetry_space_group_name_Hall '-R 3 2"'
loop_
_atom_site_label
_atom_site_type_symbol
_atom_site_fract_x
_atom_site_fract_y
_atom_site_fract_z
Ac1 Ac 0.0000 0.0000 0.0000
Ge1 Ge 0.0000 0.0000 0.3898
H1 H 0.0000 0.0000 0.5000
```

Computed properties:
M_tot ... 0.0 μB per cell
E ... -46.89 eV for the cell shown

***

DFT (PBE-GGA) results for a relaxed Ac2GeH crystal.

Structure (CIF):
```
data_Ac2GeH
_cell_length_a 6.9349
_cell_length_b 6.9349
_cell_length_c 8.6259
_cell_angle_alpha 90.00
_cell_angle_beta 90.00
_cell_angle_gamma 120.00
_symmetry_space_group_name_H-M 'P 31 2 1'
_symmetry_Int_Tables_number 152
loop_
_symmetry_equiv_pos_as_xyz
'x,y,z'
'-y,x-y,z+1/3'
'-x+y,-x,z+2/3'
'y,x,-z'
'x-y,-y,-z+2/3'
'-x,-x+y,-z+1/3'
loop_
_atom_site_label
_atom_site_type_symbol
_atom_site_fract_x
_atom_site_fract_y
_atom_site_fract_z
Ac1 Ac 0.0982 0.3856 0.3879
Ge1 Ge 0.0000 0.6114 0.6667
H1 H 0.0000 0.5465 0.1667
```

Computed properties:
Polymorph energy (0 for the lowest one) ... 0 meV per atom
M_tot ... 0.0 μB per cell
E ... -53.55 eV for the cell shown

***

DFT (PBE-GGA) results for a relaxed Ac6Ge5H crystal.

Structure (CIF):
```
data_Ac6Ge5H
_cell_length_a 7.873
_cell_length_b 13.730
_cell_length_c 7.775
_cell_angle_alpha 90.00
_cell_angle_beta 109.80
_cell_angle_gamma 90.00
_symmetry_space_group_name_H-M 'C 1 2/m 1'
_symmetry_Int_Tables_number 12
loop_
_symmetry_equiv_pos_as_xyz
'x,y,z'
'-x,-y,-z'
'-x,y,-z'
'x,-y,z'
'x+1/2,y+1/2,z'
'-x+1/2,-y+1/2,-z'
'-x+1/2,y+1/2,-z'
'x+1/2,-y+1/2,z'
loop_
_atom_site_label
_atom_site_type_symbol
_atom_site_fract_x
_atom_site_fract_y
_atom_site_fract_z
Ac1 Ac 0.245 0.000 0.254
Ac2 Ac 0.249 0.164 0.753
Ge1 Ge 0.000 0.166 0.000
Ge2 Ge 0.000 0.332 0.500
Ge3 Ge 0.000 0.500 0.000
H1 H 0.000 0.000 0.500
```

Computed properties:
M_tot ... 0.0 μB per cell
E ... -115.15 eV for the cell shown

***

DFT (PBE-GGA) results for a relaxed Ac5Ge2H2 crystal.

Structure (CIF):
```
data_Ac5Ge2H2
_cell_length_a 21.344
_cell_length_b 7.170
_cell_length_c 6.939
_cell_angle_alpha 90.00
_cell_angle_beta 90.00
_cell_angle_gamma 90.00
_symmetry_space_group_name_H-M 'I m a 2'
_symmetry_Int_Tables_number 46
loop_
_symmetry_equiv_pos_as_xyz
'x,y,z'
'-x,-y,z'
'-x+1/2,y,z'
'x+1/2,-y,z'
'x+1/2,y+1/2,z+1/2'
'-x+1/2,-y+1/2,z+1/2'
'-x,y+1/2,z+1/2'
'x,-y+1/2,z+1/2'
loop_
_atom_site_label
_atom_site_type_symbol
_atom_site_fract_x
_atom_site_fract_y
_atom_site_fract_z
Ac1 Ac 0.011 0.249 0.000
Ac2 Ac 0.153 0.547 0.256
Ac3 Ac 0.250 0.065 0.258
Ge1 Ge 0.103 0.525 0.753
H1 H 0.000 0.000 0.749
H2 H 0.250 0.107 0.897
```

Computed properties:
M_tot ... 0.0 μB per cell
E ... -161.57 eV for the cell shown

***

DFT (PBE-GGA) results for a relaxed Ac5Ge4H crystal.

Structure (CIF):
```
data_Ac5Ge4H
_cell_length_a 10.086
_cell_length_b 10.086
_cell_length_c 6.450
_cell_angle_alpha 90.00
_cell_angle_beta 90.00
_cell_angle_gamma 90.00
_symmetry_space_group_name_H-M 'I 4'
_symmetry_Int_Tables_number 79
loop_
_symmetry_equiv_pos_as_xyz
'x,y,z'
'-y,x,z'
'-x,-y,z'
'y,-x,z'
'x+1/2,y+1/2,z+1/2'
'-y+1/2,x+1/2,z+1/2'
'-x+1/2,-y+1/2,z+1/2'
'y+1/2,-x+1/2,z+1/2'
loop_
_atom_site_label
_atom_site_type_symbol
_atom_site_fract_x
_atom_site_fract_y
_atom_site_fract_z
Ac1 Ac 0.000 0.000 0.000
Ac2 Ac 0.096 0.703 0.532
Ge1 Ge 0.099 0.705 0.036
H1 H 0.000 0.000 0.586
```

Computed properties:
M_tot ... 0.0 μB per cell
E ... -95.55 eV for the cell shown

***

DFT (PBE-GGA) results for a relaxed Ac3Ge2H3 crystal.

Structure (CIF):
```
data_Ac3Ge2H3
_cell_length_a 7.8288
_cell_length_b 7.8288
_cell_length_c 3.4773
_cell_angle_alpha 90.00
_cell_angle_beta 90.00
_cell_angle_gamma 120.00
_symmetry_space_group_name_H-M 'P -6 2 m'
_symmetry_Int_Tables_number 189
_symmetry_space_group_name_Hall 'P -6 -2'
loop_
_atom_site_label
_atom_site_type_symbol
_atom_site_fract_x
_atom_site_fract_y
_atom_site_fract_z
Ac1 Ac 0.0000 0.7015 0.0000
Ge1 Ge 0.3333 0.6667 0.5000
H1 H 0.0000 0.1811 0.5000
```

Computed properties:
M_tot ... 0.0 μB per cell
E ... -33.60 eV for the cell shown

***

DFT (PBE-GGA) results for a relaxed Ac5Ge2H crystal.

Structure (CIF):
```
data_Ac5Ge2H
_cell_length_a 10.675
_cell_length_b 10.711
_cell_length_c 9.141
_cell_angle_alpha 90.00
_cell_angle_beta 90.00
_cell_angle_gamma 90.00
_symmetry_space_group_name_H-M 'F m m 2'
_symmetry_Int_Tables_number 42
_symmetry_space_group_name_Hall 'F 2 -2'
loop_
_atom_site_label
_atom_site_type_symbol
_atom_site_fract_x
_atom_site_fract_y
_atom_site_fract_z
Ac1 Ac 0.000 0.000 0.000
Ac2 Ac 0.000 0.249 0.755
Ac3 Ac 0.249 0.000 0.755
Ge1 Ge 0.250 0.250 0.003
H1 H 0.000 0.000 0.727
```

Computed properties:
M_tot ... 0.0 μB per cell
E ... -138.69 eV for the cell shown

***

DFT (PBE-GGA) results for a relaxed AcInGeH crystal.

Structure (CIF):
```
data_AcInGeH
_cell_length_a 4.502
_cell_length_b 4.502
_cell_length_c 8.533
_cell_angle_alpha 90.00
_cell_angle_beta 90.00
_cell_angle_gamma 90.00
_symmetry_space_group_name_H-M 'P 4/n m m'
_symmetry_Int_Tables_number 129
loop_
_symmetry_equiv_pos_as_xyz
'x,y,z'
'-x,-y,-z'
'-y+1/2,x,z'
'y+1/2,-x,-z'
'-x+1/2,-y+1/2,z'
'x+1/2,y+1/2,-z'
'y,-x+1/2,z'
'-y,x+1/2,-z'
'x+1/2,-y,-z'
'-x+1/2,y,z'
'-y,-x,-z'
'y,x,z'
'-x,y+1/2,-z'
'x,-y+1/2,z'
'y+1/2,x+1/2,-z'
'-y+1/2,-x+1/2,z'
loop_
_atom_site_label
_atom_site_type_symbol
_atom_site_fract_x
_atom_site_fract_y
_atom_site_fract_z
Ac1 Ac 0.250 0.250 0.150
In1 In 0.250 0.750 0.500
Ge1 Ge 0.250 0.250 0.733
H1 H 0.250 0.750 0.000
```

Computed properties:
M_tot ... 0.0 μB per cell
E ... -33.02 eV for the cell shown

***

DFT (PBE-GGA) results for a relaxed Ac5Ge2HIr crystal.

Structure (CIF):
```
data_Ac5Ge2HIr
_cell_length_a 4.548
_cell_length_b 18.718
_cell_length_c 13.048
_cell_angle_alpha 90.00
_cell_angle_beta 90.00
_cell_angle_gamma 90.00
_symmetry_space_group_name_H-M 'C m c 21'
_symmetry_Int_Tables_number 36
loop_
_symmetry_equiv_pos_as_xyz
'x,y,z'
'-x,-y,z+1/2'
'-x,y,z'
'x,-y,z+1/2'
'x+1/2,y+1/2,z'
'-x+1/2,-y+1/2,z+1/2'
'-x+1/2,y+1/2,z'
'x+1/2,-y+1/2,z+1/2'
loop_
_atom_site_label
_atom_site_type_symbol
_atom_site_fract_x
_atom_site_fract_y
_atom_site_fract_z
Ac1 Ac 0.000 0.005 0.000
Ac2 Ac 0.000 0.147 0.267
Ac3 Ac 0.000 0.196 0.619
Ac4 Ac 0.000 0.200 0.924
Ac5 Ac 0.000 0.460 0.235
Ge1 Ge 0.000 0.380 0.587
Ge2 Ge 0.000 0.384 0.956
H1 H 0.000 0.063 0.658
Ir1 Ir 0.000 0.303 0.272
```

Computed properties:
M_tot ... 0.0 μB per cell
E ... -188.84 eV for the cell shown

***

DFT (PBE-GGA) results for a relaxed AcGeH2Ir crystal.

Structure (CIF):
```
data_AcGeH2Ir
_cell_length_a 4.282
_cell_length_b 11.297
_cell_length_c 6.054
_cell_angle_alpha 90.00
_cell_angle_beta 90.00
_cell_angle_gamma 90.00
_symmetry_space_group_name_H-M 'C m c m'
_symmetry_Int_Tables_number 63
_symmetry_space_group_name_Hall '-C 2c 2'
loop_
_atom_site_label
_atom_site_type_symbol
_atom_site_fract_x
_atom_site_fract_y
_atom_site_fract_z
Ac1 Ac 0.000 0.204 0.250
Ge1 Ge 0.000 0.075 0.750
H1 H 0.000 0.353 0.558
Ir1 Ir 0.000 0.500 0.000
```

Computed properties:
M_tot ... 0.0 μB per cell
E ... -107.50 eV for the cell shown

***

DFT (PBE-GGA) results for a relaxed Ac2Ge2HIr2 crystal.

Structure (CIF):
```
data_Ac2Ge2HIr2
_cell_length_a 11.534
_cell_length_b 4.366
_cell_length_c 7.440
_cell_angle_alpha 90.00
_cell_angle_beta 128.50
_cell_angle_gamma 90.00
_symmetry_space_group_name_H-M 'C 1 2/m 1'
_symmetry_Int_Tables_number 12
loop_
_symmetry_equiv_pos_as_xyz
'x,y,z'
'-x,-y,-z'
'-x,y,-z'
'x,-y,z'
'x+1/2,y+1/2,z'
'-x+1/2,-y+1/2,-z'
'-x+1/2,y+1/2,-z'
'x+1/2,-y+1/2,z'
loop_
_atom_site_label
_atom_site_type_symbol
_atom_site_fract_x
_atom_site_fract_y
_atom_site_fract_z
Ac1 Ac 0.050 0.000 0.292
Ge1 Ge 0.185 0.500 0.736
H1 H 0.000 0.500 0.000
Ir1 Ir 0.197 0.500 0.088
```

Computed properties:
M_tot ... 0.0 μB per cell
E ... -86.08 eV for the cell shown

***

DFT (PBE-GGA) results for a relaxed Ac2Ge2H4Ir crystal.

Structure (CIF):
```
data_Ac2Ge2H4Ir
_cell_length_a 6.199
_cell_length_b 6.199
_cell_length_c 7.772
_cell_angle_alpha 90.00
_cell_angle_beta 90.00
_cell_angle_gamma 90.00
_symmetry_space_group_name_H-M 'I 4/m m m'
_symmetry_Int_Tables_number 139
_symmetry_space_group_name_Hall '-I 4 2'
loop_
_atom_site_label
_atom_site_type_symbol
_atom_site_fract_x
_atom_site_fract_y
_atom_site_fract_z
Ac1 Ac 0.000 0.500 0.250
Ge1 Ge 0.000 0.000 0.160
H1 H 0.194 0.194 0.500
Ir1 Ir 0.000 0.000 0.500
```

Computed properties:
M_tot ... 0.0 μB per cell
E ... -85.27 eV for the cell shown

***

DFT (PBE-GGA) results for a relaxed AcLaGeH crystal.

Structure (CIF):
```
data_AcLaGeH
_cell_length_a 7.351
_cell_length_b 7.351
_cell_length_c 7.351
_cell_angle_alpha 90.00
_cell_angle_beta 90.00
_cell_angle_gamma 90.00
_symmetry_space_group_name_H-M 'F -4 3 m'
_symmetry_Int_Tables_number 216
_symmetry_space_group_name_Hall 'F -4 2 3'
loop_
_atom_site_label
_atom_site_type_symbol
_atom_site_fract_x
_atom_site_fract_y
_atom_site_fract_z
Ac1 Ac 0.000 0.000 0.000
La1 La 0.000 0.000 0.500
Ge1 Ge 0.250 0.250 0.750
H1 H 0.250 0.250 0.250
```

Computed properties:
Polymorph energy (0 for the lowest one) ... 166 meV per atom
M_tot ... 0.0 μB per cell
E ... -75.11 eV for the cell shown